First-principles (GGA-PBE) data for crystalline LaTaRe2 at its relaxed geometry, as listed in the Alexandria database.

DFT total energy: -10.06 eV/atom
Offset from the most stable computed form: 135 meV per atom
DFT formation energy: 34.6 kJ/mol of atoms
ρ: 14.1 g/cm³

Cell lengths 2.9338, 4.3232, 6.4926 Å; angles 90.00, 98.08, 90.00 degrees
With the nearest neighbours (Å) after each atom.
Space group P2/m (No. 10)
Inequivalent atoms, fractional coordinates:
La 0.0000 0.0000 0.0000 [1 per cell]  2 La 2.93, 4 Re 3.12
Ta 0.5000 0.0000 0.5000 [1 per cell]  4 Re 2.64, 2 Ta 2.93
Re 0.2242 0.5000 0.6819 [2 per cell]  1 Re 2.54, 2 Ta 2.64

=====

First-principles (GGA-PBE) data for crystalline TbSiGe at its relaxed geometry, as listed in the Alexandria database.

DFT total energy: -5.37 eV/atom
Raw formation energy: -0.477 eV per atom
Offset from the most stable computed form: 47 meV per atom
ρ: 7.0 g/cm³

Cell lengths 4.2900, 4.2900, 3.8783 Å; angles 90.00, 90.00, 120.00 degrees
With the nearest neighbours (Å) after each atom.
Space group P-6m2 (No. 187)
Inequivalent atoms, fractional coordinates:
Tb 0.0000 0.0000 0.0000 [1 per cell]  6 Ge 3.15, 6 Si 3.15
Si 0.3333 0.6667 0.5000 [1 per cell]  3 Ge 2.48
Ge 0.6667 0.3333 0.5000 [1 per cell]  3 Si 2.48

=====

First-principles (GGA-PBE) data for crystalline Y3HfSc8 at its relaxed geometry, as listed in the Alexandria database.

DFT total energy: -6.03 eV/atom
DFT formation energy: 61.5 kJ/mol of atoms
ρ: 3.7 g/cm³

Cell lengths 8.2923, 8.2923, 10.5185 Å; angles 90.00, 90.00, 90.00 degrees
With the nearest neighbours (Å) after each atom.
Space group I-42m (No. 121)
Inequivalent atoms, fractional coordinates:
Y 0.0000 0.0000 0.0000 [2 per cell]  8 Sc 3.17
Y 0.0000 0.5000 0.2500 [4 per cell]  4 Sc 3.29
Hf 0.0000 0.0000 0.5000 [2 per cell]  8 Sc 2.73-2.85
Sc 0.1245 0.1245 0.2670 [8 per cell]  1 Hf 2.85, 3 Sc 2.92-3.06, 1 Y 3.17
Sc 0.2311 0.2311 0.5329 [8 per cell]  1 Hf 2.73, 1 Sc 2.99

=====

First-principles (GGA-PBE) data for crystalline Ba2AcN at its relaxed geometry, as listed in the Alexandria database.

DFT total energy: -4.24 eV/atom
Raw formation energy: -0.172 eV per atom
ρ: 5.5 g/cm³

Cell lengths 3.9811, 3.9811, 33.8190 Å; angles 90.00, 90.00, 120.00 degrees
With the nearest neighbours (Å) after each atom.
Space group R-3m (No. 166, hexagonal axes)
Inequivalent atoms, fractional coordinates:
Ba 0.0000 0.0000 0.1214 [6 per cell]  3 N 2.76
Ac 0.0000 0.0000 0.0000 [3 per cell]  6 Ac 3.98, 2 Ba 4.10
N 0.0000 0.0000 0.5000 [3 per cell]  6 Ba 2.76